Record 1
! ZnNi6Rh | Alexandria via LeMat-Bulk | GGA-PBEsol | relaxed; values from VASP
! total energy	-188.36	eV/cell
! crystal system	orthorhombic
! energy of formation from the pure elements	-0.42	eV/f.u.
&SYSTEM
  ibrav = 0, nat = 32, ntyp = 3
/
ATOMIC_SPECIES
Ni 58.69 Ni.upf
Zn 65.41 Zn.upf
Rh 102.91 Rh.upf
CELL_PARAMETERS angstrom
6.1292 -0.0007 0.0000
-2.0470 5.7772 0.0000
0.0000 0.0000 10.0041
ATOMIC_POSITIONS crystal
Ni 0.3759 0.1258 0.1241
Ni 0.1259 0.3753 0.6263
Zn 0.5000 0.5000 0.2483
Ni 0.3759 0.1258 0.8759
Ni 0.5000 0.5000 0.5000
Ni 0.8742 0.6241 0.8759
Ni 0.3753 0.1259 0.6263
Rh 0.2506 0.7494 0.5000
Ni 0.8742 0.6241 0.1241
Ni 0.5000 0.5000 0.0000
Ni 0.0000 0.0000 0.5000
Ni 0.6241 0.8742 0.8759
Ni 0.6247 0.8741 0.3737
Ni 0.1258 0.3759 0.1241
Ni 0.6241 0.8742 0.1241
Ni 0.1259 0.3753 0.3737
Zn 0.2494 0.7506 0.0000
Zn 0.7506 0.2494 0.0000
Ni 0.7501 0.2499 0.7503
Ni 0.2499 0.7501 0.7503
Rh 0.0000 0.0000 0.7521
Ni 0.3753 0.1259 0.3737
Ni 0.0000 0.0000 0.0000
Ni 0.8741 0.6247 0.6263
Rh 0.7494 0.2506 0.5000
Zn 0.5000 0.5000 0.7517
Rh 0.0000 0.0000 0.2479
Ni 0.2499 0.7501 0.2497
Ni 0.7501 0.2499 0.2497
Ni 0.6247 0.8741 0.6263
Ni 0.8741 0.6247 0.3737
Ni 0.1258 0.3759 0.8759

=====

Record 2
! Zr2Al2Ni | Alexandria via LeMat-Bulk | GGA-PBEsol | relaxed; values from VASP
! total energy	-69.80	eV/cell
! crystal system	orthorhombic
! energy of formation from the pure elements	-2.38	eV/f.u.
! polymorph energy (0 for the lowest one)	0.016	eV per atom
&SYSTEM
  ibrav = 0, nat = 10, ntyp = 3
/
ATOMIC_SPECIES
Al 26.98 Al.upf
Zr 91.22 Zr.upf
Ni 58.69 Ni.upf
CELL_PARAMETERS angstrom
4.3741 0.0000 0.0000
0.0000 5.9412 0.0000
0.0000 0.0000 6.6153
ATOMIC_POSITIONS crystal
Al 0.0000 0.6283 0.8460
Al 0.0000 0.3717 0.1540
Zr 0.5000 0.2116 0.3699
Zr 0.5000 0.7884 0.6301
Al 0.0000 0.1283 0.6540
Ni 0.0000 0.5000 0.5000
Ni 0.0000 0.0000 0.0000
Al 0.0000 0.8717 0.3460
Zr 0.5000 0.7116 0.1301
Zr 0.5000 0.2884 0.8699

=====

What did the second record say?
! Zr2Al2Ni | Alexandria via LeMat-Bulk | GGA-PBEsol | relaxed; values from VASP
! total energy	-69.80	eV/cell
! crystal system	orthorhombic
! energy of formation from the pure elements	-2.38	eV/f.u.
! polymorph energy (0 for the lowest one)	0.016	eV per atom
&SYSTEM
  ibrav = 0, nat = 10, ntyp = 3
/
ATOMIC_SPECIES
Al 26.98 Al.upf
Zr 91.22 Zr.upf
Ni 58.69 Ni.upf
CELL_PARAMETERS angstrom
4.3741 0.0000 0.0000
0.0000 5.9412 0.0000
0.0000 0.0000 6.6153
ATOMIC_POSITIONS crystal
Al 0.0000 0.6283 0.8460
Al 0.0000 0.3717 0.1540
Zr 0.5000 0.2116 0.3699
Zr 0.5000 0.7884 0.6301
Al 0.0000 0.1283 0.6540
Ni 0.0000 0.5000 0.5000
Ni 0.0000 0.0000 0.0000
Al 0.0000 0.8717 0.3460
Zr 0.5000 0.7116 0.1301
Zr 0.5000 0.2884 0.8699

=====

Number 1 is which compound? ZnNi6Rh

=====

Which formula does entry 1 have? ZnNi6Rh

=====

Which of these has the lowest total energy? ZnNi6Rh